# 1
The following is a PBE-GGA calculation of crystalline Li6Hf2O7 at its relaxed geometry, from the Alexandria database.

Cell: 5.3475 6.0585 10.3531 Å, 90.00 110.23 90.00°
Fractional coordinates of all 30 atoms:
Li: 0.1632 0.0042 0.1243
Li: 0.1632 0.4958 0.6243
Li: 0.2121 0.2206 0.3581
Li: 0.2121 0.2794 0.8581
Li: 0.2182 0.7302 0.8614
Li: 0.2182 0.7698 0.3614
Li: 0.7818 0.2302 0.6386
Li: 0.7818 0.2698 0.1386
Li: 0.7879 0.7206 0.1419
Li: 0.7879 0.7794 0.6419
Li: 0.8368 0.5042 0.3757
Li: 0.8368 0.9958 0.8757
Hf: 0.2694 0.0042 0.6337
Hf: 0.2694 0.4958 0.1337
Hf: 0.7306 0.5042 0.8663
Hf: 0.7306 0.9958 0.3663
O: 0.0072 0.7323 0.0025
O: 0.0072 0.7677 0.5025
O: 0.0444 0.0049 0.7558
O: 0.0444 0.4951 0.2558
O: 0.4858 0.2302 0.2408
O: 0.4858 0.2698 0.7408
O: 0.5000 0.0000 0.5000
O: 0.5000 0.5000 0.0000
O: 0.5142 0.7302 0.2592
O: 0.5142 0.7698 0.7592
O: 0.9556 0.5049 0.7442
O: 0.9556 0.9951 0.2442
O: 0.9928 0.2323 0.4975
O: 0.9928 0.2677 0.9975

Results
space group	P2_1/c (14)
theoretical density	5.388	g cm⁻³
energy relative to the elements, uncorrected	-2.639	eV per atom
VASP energy	-7.0454	eV/atom



# 2
The following is a PBE-GGA calculation of crystalline Li2HfO3 at its relaxed geometry, from the Alexandria database.

Cell: 4.1950 9.6400 3.2081 Å, 90.00 90.00 90.00°
Fractional coordinates of all 12 atoms:
Li: 0.0000 0.1562 0.0000
Li: 0.0000 0.8438 0.0000
Li: 0.5000 0.3438 0.0000
Li: 0.5000 0.6562 0.0000
Hf: 0.0000 0.5000 0.5000
Hf: 0.5000 0.0000 0.5000
O: 0.0000 0.0000 0.5000
O: 0.0000 0.3598 0.0000
O: 0.0000 0.6402 0.0000
O: 0.5000 0.1402 0.0000
O: 0.5000 0.5000 0.5000
O: 0.5000 0.8598 0.0000

Results
space group	Cmmm (65)
theoretical density	6.153	g cm⁻³
energy relative to the elements, uncorrected	-2.817	eV per atom
VASP energy	-7.5933	eV/atom



# 3
The following is a PBE-GGA calculation of crystalline Li6Hf2O7 at its relaxed geometry, from the Alexandria database.

Cell: 6.0286 6.0286 10.1996 Å, 99.07 99.07 59.63°
Fractional coordinates of all 30 atoms:
Li: 0.0768 0.3366 0.8936
Li: 0.0816 0.7933 0.9129
Li: 0.2067 0.9184 0.5871
Li: 0.3340 0.5324 0.3967
Li: 0.3366 0.0768 0.3936
Li: 0.4676 0.6660 0.1033
Li: 0.5324 0.3340 0.8967
Li: 0.6634 0.9232 0.6064
Li: 0.6660 0.4676 0.6033
Li: 0.7933 0.0816 0.4129
Li: 0.9184 0.2067 0.0871
Li: 0.9232 0.6634 0.1064
Hf: 0.1944 0.4388 0.6352
Hf: 0.4388 0.1944 0.1352
Hf: 0.5612 0.8056 0.8648
Hf: 0.8056 0.5612 0.3648
O: 0.0005 0.2675 0.5019
O: 0.1372 0.3632 0.2540
O: 0.2571 0.4997 0.0235
O: 0.2675 0.0005 0.0019
O: 0.3478 0.6522 0.7500
O: 0.3632 0.1372 0.7540
O: 0.4997 0.2571 0.5235
O: 0.5003 0.7429 0.4765
O: 0.6368 0.8628 0.2460
O: 0.6522 0.3478 0.2500
O: 0.7325 0.9995 0.9981
O: 0.7429 0.5003 0.9765
O: 0.8628 0.6368 0.7460
O: 0.9995 0.7325 0.4981

Results
space group	C2/c (15)
theoretical density	5.392	g cm⁻³
energy relative to the elements, uncorrected	-2.640	eV per atom
VASP energy	-7.0466	eV/atom



# 4
The following is a PBE-GGA calculation of crystalline Li3HfO at its relaxed geometry, from the Alexandria database.

Cell: 4.0835 4.0835 4.0835 Å, 90.00 90.00 90.00°
Fractional coordinates of all 5 atoms:
Li: 0.0000 0.0000 0.5000
Li: 0.0000 0.5000 0.0000
Li: 0.5000 0.0000 0.0000
Hf: 0.5000 0.5000 0.5000
O: 0.0000 0.0000 0.0000

Results
space group	Pm-3m (221)
theoretical density	5.251	g cm⁻³
energy relative to the elements, uncorrected	-0.191	eV per atom
E above lowest polymorph	0.000	eV/atom
VASP energy	-4.3215	eV/atom



# 5
The following is a PBE-GGA calculation of crystalline Li2HfO3 at its relaxed geometry, from the Alexandria database.

Cell: 6.1555 4.2339 9.1089 Å, 90.00 90.00 90.00°
Fractional coordinates of all 24 atoms:
Li: 0.0914 0.2500 0.2447
Li: 0.1223 0.2500 0.9183
Li: 0.3777 0.7500 0.4183
Li: 0.4086 0.7500 0.7447
Li: 0.5914 0.2500 0.2553
Li: 0.6223 0.2500 0.5817
Li: 0.8777 0.7500 0.0817
Li: 0.9086 0.7500 0.7553
Hf: 0.1590 0.2500 0.5899
Hf: 0.3410 0.7500 0.0899
Hf: 0.6590 0.2500 0.9101
Hf: 0.8410 0.7500 0.4101
O: 0.1127 0.7500 0.2481
O: 0.1142 0.7500 0.5767
O: 0.1387 0.7500 0.9261
O: 0.3613 0.2500 0.4261
O: 0.3858 0.2500 0.0767
O: 0.3873 0.2500 0.7481
O: 0.6127 0.7500 0.2519
O: 0.6142 0.7500 0.9233
O: 0.6387 0.7500 0.5739
O: 0.8613 0.2500 0.0739
O: 0.8858 0.2500 0.4233
O: 0.8873 0.2500 0.7519

Results
space group	Pnma (62)
theoretical density	6.725	g cm⁻³
energy relative to the elements, uncorrected	-2.755	eV per atom
VASP energy	-7.5305	eV/atom



# 6
The following is a PBE-GGA calculation of crystalline Li2Hf2O5 at its relaxed geometry, from the Alexandria database.

Cell: 5.6014 5.6014 7.5847 Å, 109.62 109.62 70.88°
Fractional coordinates of all 18 atoms:
Li: 0.1834 0.7883 0.5406
Li: 0.2117 0.8166 0.9594
Li: 0.7883 0.1834 0.0406
Li: 0.8166 0.2117 0.4594
Hf: 0.2234 0.2803 0.8818
Hf: 0.2803 0.2234 0.3818
Hf: 0.7197 0.7766 0.6182
Hf: 0.7766 0.7197 0.1182
O: 0.0000 0.5000 0.5000
O: 0.0265 0.9735 0.2500
O: 0.0790 0.3691 0.1322
O: 0.3691 0.0790 0.6322
O: 0.5000 0.0000 0.0000
O: 0.5000 0.5000 0.0000
O: 0.5000 0.5000 0.5000
O: 0.6309 0.9210 0.3678
O: 0.9210 0.6309 0.8678
O: 0.9735 0.0265 0.7500

Results
space group	C2/c (15)
theoretical density	7.309	g cm⁻³
energy relative to the elements, uncorrected	-2.985	eV per atom
E above lowest polymorph	0.000	eV/atom
VASP energy	-8.3764	eV/atom



# 7
The following is a PBE-GGA calculation of crystalline LiHfO2 at its relaxed geometry, from the Alexandria database.

Cell: 5.3446 5.3446 5.3446 Å, 90.00 90.00 90.00°
Fractional coordinates of all 16 atoms:
Li: 0.0000 0.0000 0.0000
Li: 0.0000 0.5000 0.5000
Li: 0.5000 0.0000 0.5000
Li: 0.5000 0.5000 0.0000
Hf: 0.0000 0.0000 0.5000
Hf: 0.0000 0.5000 0.0000
Hf: 0.5000 0.0000 0.0000
Hf: 0.5000 0.5000 0.5000
O: 0.2500 0.2500 0.2500
O: 0.2500 0.2500 0.7500
O: 0.2500 0.7500 0.2500
O: 0.2500 0.7500 0.7500
O: 0.7500 0.2500 0.2500
O: 0.7500 0.2500 0.7500
O: 0.7500 0.7500 0.2500
O: 0.7500 0.7500 0.7500

Results
space group	Fm-3m (225)
theoretical density	9.460	g cm⁻³
energy relative to the elements, uncorrected	-2.012	eV per atom
VASP energy	-7.4575	eV/atom



# 8
The following is a PBE-GGA calculation of crystalline Li3HfO4 at its relaxed geometry, from the Alexandria database.

Cell: 4.2117 4.2117 4.2117 Å, 90.00 90.00 90.00°
Fractional coordinates of all 8 atoms:
Li: 0.0000 0.0000 0.5000
Li: 0.0000 0.5000 0.0000
Li: 0.5000 0.0000 0.0000
Hf: 0.5000 0.5000 0.5000
O: 0.0000 0.0000 0.0000
O: 0.0000 0.5000 0.5000
O: 0.5000 0.0000 0.5000
O: 0.5000 0.5000 0.0000

Results
space group	Pm-3m (221)
theoretical density	5.852	g cm⁻³
energy relative to the elements, uncorrected	-2.336	eV per atom
VASP energy	-6.7771	eV/atom



# 9
The following is a PBE-GGA calculation of crystalline Li3HfO at its relaxed geometry, from the Alexandria database.

Cell: 5.4062 5.4062 5.4062 Å, 90.00 90.00 90.00°
Fractional coordinates of all 5 atoms:
Li: 0.0000 0.0000 0.5000
Li: 0.0000 0.5000 0.0000
Li: 0.5000 0.0000 0.0000
Hf: 0.0000 0.0000 0.0000
O: 0.5000 0.5000 0.5000

Results
space group	Pm-3m (221)
theoretical density	2.263	g cm⁻³
energy relative to the elements, uncorrected	1.537	eV per atom
E above lowest polymorph	1.728	eV/atom
VASP energy	-2.5935	eV/atom



# 10
The following is a PBE-GGA calculation of crystalline LiHf3O6 at its relaxed geometry, from the Alexandria database.

Cell: 8.6266 3.2632 8.7670 Å, 90.00 105.05 90.00°
Fractional coordinates of all 20 atoms:
Li: 0.0566 0.2500 0.1517
Li: 0.9434 0.7500 0.8483
Hf: 0.1671 0.2500 0.5661
Hf: 0.3072 0.7500 0.9722
Hf: 0.4137 0.2500 0.3243
Hf: 0.5863 0.7500 0.6757
Hf: 0.6928 0.2500 0.0278
Hf: 0.8329 0.7500 0.4339
O: 0.0730 0.7500 0.4185
O: 0.1515 0.2500 0.9559
O: 0.2251 0.7500 0.7262
O: 0.2808 0.7500 0.2185
O: 0.4203 0.2500 0.5750
O: 0.4666 0.2500 0.0988
O: 0.5334 0.7500 0.9012
O: 0.5797 0.7500 0.4250
O: 0.7192 0.2500 0.7815
O: 0.7749 0.2500 0.2738
O: 0.8485 0.7500 0.0441
O: 0.9270 0.2500 0.5815

Results
space group	P2_1/m (11)
theoretical density	8.896	g cm⁻³
energy relative to the elements, uncorrected	-3.058	eV per atom
VASP energy	-9.2100	eV/atom



# 11
The following is a PBE-GGA calculation of crystalline Li5HfO4 at its relaxed geometry, from the Alexandria database.

Cell: 6.7116 6.7116 6.0122 Å, 99.96 99.96 26.59°
Fractional coordinates of all 10 atoms:
Li: 0.0000 0.0000 0.0000
Li: 0.3156 0.3156 0.6216
Li: 0.3374 0.3374 0.2158
Li: 0.6626 0.6626 0.7842
Li: 0.6844 0.6844 0.3784
Hf: 0.0000 0.0000 0.5000
O: 0.1607 0.1607 0.5724
O: 0.4998 0.4998 0.2587
O: 0.5002 0.5002 0.7413
O: 0.8393 0.8393 0.4276

Results
space group	C2/m (12)
theoretical density	3.858	g cm⁻³
energy relative to the elements, uncorrected	-2.183	eV per atom
E above lowest polymorph	0.000	eV/atom
VASP energy	-6.1189	eV/atom



# 12
The following is a PBE-GGA calculation of crystalline LiHfO2 at its relaxed geometry, from the Alexandria database.

Cell: 4.7374 4.7374 9.9980 Å, 90.00 90.00 90.00°
Fractional coordinates of all 16 atoms:
Li: 0.0000 0.0000 0.0000
Li: 0.0000 0.5000 0.2500
Li: 0.5000 0.0000 0.7500
Li: 0.5000 0.5000 0.5000
Hf: 0.0000 0.0000 0.5000
Hf: 0.0000 0.5000 0.7500
Hf: 0.5000 0.0000 0.2500
Hf: 0.5000 0.5000 0.0000
O: 0.2243 0.2500 0.6250
O: 0.2500 0.7243 0.8750
O: 0.2500 0.7757 0.3750
O: 0.2757 0.2500 0.1250
O: 0.7243 0.7500 0.1250
O: 0.7500 0.2243 0.3750
O: 0.7500 0.2757 0.8750
O: 0.7757 0.7500 0.6250

Results
space group	I-42d (122)
theoretical density	6.436	g cm⁻³
energy relative to the elements, uncorrected	-2.391	eV per atom
VASP energy	-7.8372	eV/atom